[1]
First-principles (PBE) data for a relaxed B2TePb crystal, as listed in Alexandria via LeMat-Bulk.

Computed properties:
As for the space group: I-42d, No. 122. The calculation puts the total energy at -4.27 eV/atom. For the density of states at the Fermi level, the calculation gives 0.00 states/eV per cell.

Cell: 5.411 5.411 6.573 Å, 65.69 65.69 90.00°
Positions (direct):
Pb  0.000  0.000  0.000
Pb  0.750  0.250  0.500
B  0.140  0.625  0.250
B  0.610  0.125  0.250
B  0.875  0.860  0.750
B  0.375  0.390  0.750
Te  0.500  0.500  0.000
Te  0.250  0.750  0.500

[2]
First-principles (PBE) data for a relaxed BTePb crystal, as listed in Alexandria via LeMat-Bulk.

Computed properties:
As for the space group: Pnma, No. 62. The calculation puts the total energy at -4.33 eV/atom. For the density of states at the Fermi level, the calculation gives 4.12 states/eV per cell.

Cell: 3.162 6.279 15.314 Å, 90.00 90.00 90.00°
Positions (direct):
Pb  0.250  0.379  0.412
Pb  0.750  0.621  0.588
Pb  0.750  0.879  0.088
Pb  0.250  0.121  0.912
Te  0.750  0.133  0.661
Te  0.250  0.867  0.339
Te  0.750  0.367  0.161
Te  0.250  0.633  0.839
B  0.250  0.978  0.482
B  0.250  0.522  0.982
B  0.750  0.478  0.018
B  0.750  0.022  0.518

[3]
First-principles (PBE) data for a relaxed B2Te2Pb crystal, as listed in Alexandria via LeMat-Bulk.

Computed properties:
As for the space group: P4/mbm, No. 127. The calculation puts the total energy at -3.59 eV/atom. For the density of states at the Fermi level, the calculation gives 3.66 states/eV per cell.

Cell: 8.517 8.517 3.520 Å, 90.00 90.00 90.00°
Positions (direct):
Pb  0.500  0.500  0.000
Pb  0.000  0.000  0.000
Te  0.645  0.145  0.000
Te  0.855  0.645  0.000
Te  0.355  0.855  0.000
Te  0.145  0.355  0.000
B  0.741  0.759  0.500
B  0.259  0.241  0.500
B  0.759  0.259  0.500
B  0.241  0.741  0.500

How do the records compare in theoretical density? In the order shown, they have 7.56 7.55 6.30 g/cm³.
How do the records compare in formation energy from raw total energies? In the order shown, they have 0.781 0.176 1.082 eV per atom.